1.
BiB3Mo | PBE-GGA | optimized geometry

Cell and atoms, written as POSCAR:
```
BiB3Mo
1.0
-3.928 -1.644 0.243
1.192 -3.222 -2.527
1.158 -2.260 3.427
Mo B Bi
1 3 1
Cartesian
0.000 0.000 0.000
0.579 -1.130 1.713
0.596 -1.611 -1.264
-1.964 -0.822 0.122
-0.789 -3.563 0.571
```

offset from the most stable computed form = 0 meV/atom
formation energy from the elements = 1261 meV per atom
total energy = -5.688 eV per atom
space-group type = No. 221



2.
Pr2GaN | PBE-GGA | optimized geometry

Cell and atoms, written as POSCAR:
```
Pr2GaN
1.0
3.745 0.000 0.000
1.873 3.243 0.000
1.873 1.081 7.572
N Pr Ga
1 2 1
Cartesian
0.000 0.000 0.000
1.873 1.081 1.442
5.618 3.243 6.130
3.745 2.162 3.786
```

total energy = -6.034 eV per atom
space-group type = No. 166



3.
Tb2PmDy5Y | PBE-GGA | optimized geometry

Cell and atoms, written as POSCAR:
```
Tb2PmDy5Y
1.0
8.914 0.000 0.000
0.000 8.914 0.000
-4.457 -4.457 7.405
Tb Dy Y Pm
4 10 2 2
Cartesian
5.464 1.007 0.000
1.007 3.450 0.000
7.907 5.464 0.000
3.450 7.907 0.000
6.298 7.072 1.967
4.457 4.457 0.000
1.841 6.298 1.967
2.616 1.841 1.967
0.000 0.000 0.000
1.841 2.616 5.438
2.616 -1.841 5.438
7.072 2.616 1.967
-2.616 1.841 5.438
-1.841 -2.616 5.438
4.457 0.000 3.703
0.000 4.457 3.703
4.457 4.457 3.703
0.000 0.000 3.703
```

formation energy from the elements = 289 meV per atom
total energy = -4.543 eV per atom
space-group type = No. 140



4.
TlBi2OsSe | PBE-GGA | optimized geometry

Cell and atoms, written as POSCAR:
```
TlBi2OsSe
1.0
5.790 0.000 0.000
0.000 5.158 0.000
0.000 0.000 5.790
Os Bi Tl Se
1 2 1 1
Cartesian
2.895 2.579 2.895
2.895 0.000 0.000
0.000 0.000 2.895
0.000 0.000 0.000
0.000 2.579 0.000
```

total energy = -3.111 eV per atom
space-group type = No. 123